# PuTiNiMo

PuTiNiMo after structural relaxation (PBE-GGA, Alexandria).

abc: 4.546 4.546 4.546
angles: 60.00 60.00 60.00
Fractional coordinates of all 4 atoms:
Pu 0.000 0.000 0.000
Ti 0.500 0.500 0.500
Ni 0.250 0.250 0.250
Mo 0.750 0.750 0.750

Calculated values
Volume, A^3/atom: 16.6
ΔE_f, eV/atom: -0.010
Total DFT energy (no corrections), eV per cell: -38.88
D(E_F), states/eV per cell: 5.73